# NiMoS

A relaxed NiMoS crystal (PBE, the Alexandria database).

a b c (Å): 12.2668 3.0615 4.1442
angles (deg): 90.00 90.00 90.00
Closest atoms and distances in Å follow each position.
Fractional positions:
Ni (0.2487, 0.2500, 0.1192)  3 S 2.19-2.24
Ni (0.2513, 0.7500, 0.6192)  3 S 2.19-2.24
Ni (0.7487, 0.2500, 0.3808)  3 S 2.19-2.24
Ni (0.7513, 0.7500, 0.8808)  3 S 2.19-2.24
Mo (0.0592, 0.7500, 0.2534)  1 S 2.26
Mo (0.4408, 0.2500, 0.7534)  1 S 2.26
Mo (0.5592, 0.7500, 0.2466)  1 S 2.26
Mo (0.9408, 0.2500, 0.7466)  1 S 2.26
S (0.1247, 0.2500, 0.7390)  3 Ni 2.19-2.24, 1 Mo 2.26
S (0.3753, 0.7500, 0.2390)  3 Ni 2.19-2.24, 1 Mo 2.26
S (0.6247, 0.2500, 0.7610)  3 Ni 2.19-2.24, 1 Mo 2.26
S (0.8753, 0.7500, 0.2610)  3 Ni 2.19-2.24, 1 Mo 2.26

Energy relative to the elements, uncorrected, eV per atom: -0.1518
Final energy, eV per atom: -7.065
Symmetry: Pnma (62)
V, Å³ per cell: 155.64
Magnetic moment, Bohr magnetons per cell: 0.0

# La11Tb9Th4

A relaxed La11Tb9Th4 crystal (PBE, the Alexandria database).

a b c (Å): 15.6671 15.6671 3.7211
angles (deg): 90.00 90.00 112.88
Closest atoms and distances in Å follow each position.
Fractional positions:
La (0.0000, 0.0000, 0.0000)  8 Tb 3.59, 2 La 3.72
La (0.0472, 0.4092, 0.0000)  2 Th 3.42, 6 Tb 3.62-3.77, 3 La 3.68-3.72
La (0.1576, 0.8424, 0.0000)  5 La 3.72-4.11, 8 Tb 3.78-3.79
La (0.2956, 0.2956, 0.0000)  4 Th 3.35, 2 La 3.72
La (0.3692, 0.6308, 0.0000)  4 Th 3.38, 2 La 3.72, 4 Tb 3.73
La (0.4092, 0.0472, 0.0000)  2 Th 3.42, 6 Tb 3.62-3.77, 3 La 3.68-3.72
La (0.5908, 0.9528, 0.0000)  2 Th 3.42, 6 Tb 3.62-3.77, 3 La 3.68-3.72
La (0.6308, 0.3692, 0.0000)  4 Th 3.38, 2 La 3.72, 4 Tb 3.73
La (0.7044, 0.7044, 0.0000)  4 Th 3.35, 2 La 3.72
La (0.8424, 0.1576, 0.0000)  5 La 3.72-4.11, 8 Tb 3.78-3.79
La (0.9528, 0.5908, 0.0000)  2 Th 3.42, 6 Tb 3.62-3.77, 3 La 3.68-3.72
Tb (0.0674, 0.2124, 0.5000)  8 La 3.59-3.78, 1 Th 3.61, 3 Tb 3.72-3.79
Tb (0.1639, 0.6342, 0.5000)  3 Tb 3.50-3.72, 1 Th 3.61, 8 La 3.62-3.79
Tb (0.2124, 0.0674, 0.5000)  8 La 3.59-3.78, 1 Th 3.61, 3 Tb 3.72-3.79
Tb (0.3658, 0.8361, 0.5000)  3 Tb 3.50-3.72, 1 Th 3.61, 8 La 3.62-3.79
Tb (0.5000, 0.5000, 0.5000)  2 Tb 3.72, 4 Th 3.80, 8 La 3.89-4.00
Tb (0.6342, 0.1639, 0.5000)  3 Tb 3.50-3.72, 1 Th 3.61, 8 La 3.62-3.79
Tb (0.7876, 0.9326, 0.5000)  8 La 3.59-3.78, 1 Th 3.61, 3 Tb 3.72-3.79
Tb (0.8361, 0.3658, 0.5000)  3 Tb 3.50-3.72, 1 Th 3.61, 8 La 3.62-3.79
Tb (0.9326, 0.7876, 0.5000)  8 La 3.59-3.78, 1 Th 3.61, 3 Tb 3.72-3.79
Th (0.2412, 0.4453, 0.5000)  6 La 3.35-3.42, 2 Tb 3.61, 2 Th 3.72
Th (0.4453, 0.2412, 0.5000)  6 La 3.35-3.42, 2 Tb 3.61, 2 Th 3.72
Th (0.5547, 0.7588, 0.5000)  6 La 3.35-3.42, 2 Tb 3.61, 2 Th 3.72
Th (0.7588, 0.5547, 0.5000)  6 La 3.35-3.42, 2 Tb 3.61, 2 Th 3.72

Formation energy from the elements, eV per atom: 0.10
Final energy, eV per atom: -5.129
Symmetry: Cmmm (65)
V, Å³ per cell: 841.54
Magnetic moment, Bohr magnetons per cell: 0.0

# Zn2CuSi

A relaxed Zn2CuSi crystal (PBE, the Alexandria database).

a b c (Å): 4.7172 4.7172 4.7172
angles (deg): 132.31 132.31 69.75
Closest atoms and distances in Å follow each position.
Fractional positions:
Zn (0.0000, 0.0000, 0.0000)  4 Si 2.70, 4 Cu 2.72, 4 Zn 2.72
Zn (0.7500, 0.2500, 0.5000)  4 Cu 2.70, 4 Zn 2.72, 4 Si 2.72
Cu (0.2500, 0.7500, 0.5000)  8 Zn 2.70-2.72, 4 Si 2.72
Si (0.5000, 0.5000, 0.0000)  8 Zn 2.70-2.72, 4 Cu 2.72

Energy relative to the elements, uncorrected, eV per atom: 0.1231
Final energy, eV per atom: -2.894
Symmetry: I-4m2 (119)
V, Å³ per cell: 56.31
Magnetic moment, Bohr magnetons per cell: 0.0

# TbEr6Th4

A relaxed TbEr6Th4 crystal (PBE, the Alexandria database).

a b c (Å): 18.1125 18.1125 18.1125
angles (deg): 169.19 161.53 21.45
Closest atoms and distances in Å follow each position.
Fractional positions:
Tb (0.0000, 0.0000, 0.0000)  2 Tb 3.41, 8 Th 3.72, 4 Er 3.82
Er (0.0960, 0.5960, 0.5000)  6 Er 3.41-3.60, 4 Th 3.44-3.51, 2 Tb 3.82
Er (0.2671, 0.7671, 0.5000)  7 Er 3.41-3.62, 4 Th 3.43-3.47
Er (0.3687, 0.8687, 0.5000)  7 Er 3.41-3.62, 4 Th 3.42-3.54
Er (0.6313, 0.1313, 0.5000)  7 Er 3.41-3.62, 4 Th 3.42-3.54
Er (0.7329, 0.2329, 0.5000)  7 Er 3.41-3.62, 4 Th 3.43-3.47
Er (0.9040, 0.4040, 0.5000)  6 Er 3.41-3.60, 4 Th 3.44-3.51, 2 Tb 3.82
Th (0.1820, 0.1820, 0.0000)  2 Th 3.41, 8 Er 3.42-3.51
Th (0.4558, 0.4558, 0.0000)  3 Th 3.14-3.41, 2 Er 3.44
Th (0.5442, 0.5442, 0.0000)  3 Th 3.14-3.41, 2 Er 3.44
Th (0.8180, 0.8180, 0.0000)  2 Th 3.41, 8 Er 3.42-3.51

Formation energy from the elements, eV per atom: 0.16
Final energy, eV per atom: -5.444
Symmetry: Immm (71)
V, Å³ per cell: 353.05
Excess energy over the best structure of this formula in the dataset, eV per atom: 0.000
Magnetic moment, Bohr magnetons per cell: 0.0

# RuBr3O

A relaxed RuBr3O crystal (PBE, the Alexandria database).

a b c (Å): 5.8886 10.6572 12.0633
angles (deg): 90.00 103.81 90.00
Closest atoms and distances in Å follow each position.
Fractional positions:
Ru (0.0269, 0.0945, 0.1304)  2 O 1.81-1.98
Ru (0.0269, 0.9055, 0.6304)  2 O 1.81-1.98
Ru (0.9731, 0.0945, 0.3696)  2 O 1.81-1.98
Ru (0.9731, 0.9055, 0.8696)  2 O 1.81-1.98
Br (0.0461, 0.3658, 0.8518)  1 Br 2.39
Br (0.0461, 0.6342, 0.3518)  1 Br 2.39
Br (0.1856, 0.2957, 0.1058)  1 Ru 2.39
Br (0.1856, 0.7043, 0.6058)  1 Ru 2.39
Br (0.2480, 0.0792, 0.5714)  2 Ru 2.46-2.59
Br (0.2480, 0.9208, 0.0714)  2 Ru 2.46-2.59
Br (0.7520, 0.0792, 0.9286)  2 Ru 2.46-2.59
Br (0.7520, 0.9208, 0.4286)  2 Ru 2.46-2.59
Br (0.8144, 0.2957, 0.3942)  1 Ru 2.39
Br (0.8144, 0.7043, 0.8942)  1 Ru 2.39
Br (0.9539, 0.3658, 0.6482)  1 Br 2.39
Br (0.9539, 0.6342, 0.1482)  1 Br 2.39
O (0.2014, 0.0882, 0.2923)  2 Ru 1.81-1.98
O (0.2014, 0.9118, 0.7923)  2 Ru 1.81-1.98
O (0.7986, 0.0882, 0.2077)  2 Ru 1.81-1.98
O (0.7986, 0.9118, 0.7077)  2 Ru 1.81-1.98

Energy relative to the elements, uncorrected, eV per atom: -0.2512
Final energy, eV per atom: -4.102
Symmetry: P2/c (13)
V, Å³ per cell: 735.16
Excess energy over the best structure of this formula in the dataset, eV per atom: 0.000
Magnetic moment, Bohr magnetons per cell: 0.0

# Mo2AsRh

A relaxed Mo2AsRh crystal (PBE, the Alexandria database).

a b c (Å): 2.8119 2.8119 8.1860
angles (deg): 90.00 90.00 105.26
Closest atoms and distances in Å follow each position.
Fractional positions:
Mo (0.0000, 0.0000, 0.0000)  2 As 2.68, 6 Mo 2.73-2.81
Mo (0.5000, 0.5000, 0.2597)  2 Rh 2.65, 6 Mo 2.73-2.81
As (0.5000, 0.5000, 0.7480)  2 Rh 2.61, 2 Mo 2.68, 4 As 2.81
Rh (0.0000, 0.0000, 0.5071)  2 As 2.61, 2 Mo 2.65, 4 Rh 2.81

Formation energy from the elements, eV per atom: 0.11
Final energy, eV per atom: -8.308
Symmetry: Cmm2 (35)
V, Å³ per cell: 62.44
Magnetic moment, Bohr magnetons per cell: 0.0

# Si5As3

A relaxed Si5As3 crystal (PBE, the Alexandria database).

a b c (Å): 7.8341 7.8341 7.8878
angles (deg): 96.08 96.08 141.62
Closest atoms and distances in Å follow each position.
Fractional positions:
Si (0.0000, 0.0000, 0.0000)  6 Si 2.57
Si (0.0043, 0.7549, 0.7595)  3 As 2.54-2.72, 3 Si 2.57-2.58
Si (0.2451, 0.9957, 0.2405)  3 As 2.54-2.72, 3 Si 2.57-2.58
Si (0.2538, 0.4944, 0.7498)  3 As 2.53-2.72, 3 Si 2.57-2.58
Si (0.4944, 0.2538, 0.7498)  3 As 2.53-2.72, 3 Si 2.57-2.58
Si (0.5000, 0.5000, 0.0000)  6 Si 2.57-2.58
Si (0.5056, 0.7462, 0.2502)  3 As 2.53-2.72, 3 Si 2.57-2.58
Si (0.7462, 0.5056, 0.2502)  3 As 2.53-2.72, 3 Si 2.57-2.58
Si (0.7549, 0.0043, 0.7595)  3 As 2.54-2.72, 3 Si 2.57-2.58
Si (0.9957, 0.2451, 0.2405)  3 As 2.54-2.72, 3 Si 2.57-2.58
As (0.0000, 0.5000, 0.5000)  2 As 2.57, 4 Si 2.68
As (0.2458, 0.7542, 0.0000)  4 Si 2.54-2.72, 2 As 2.58
As (0.2560, 0.2560, 0.5085)  4 Si 2.53-2.72, 2 As 2.56-2.60
As (0.5000, 0.0000, 0.5000)  2 As 2.57, 4 Si 2.68
As (0.7440, 0.7440, 0.4915)  4 Si 2.53-2.72, 2 As 2.56-2.60
As (0.7542, 0.2458, 0.0000)  4 Si 2.54-2.72, 2 As 2.58

Energy relative to the elements, uncorrected, eV per atom: 0.2536
Final energy, eV per atom: -4.879
Symmetry: C2/m (12)
V, Å³ per cell: 284.51
Excess energy over the best structure of this formula in the dataset, eV per atom: 0.000
Magnetic moment, Bohr magnetons per cell: 0.0

# Er3TeS2

A relaxed Er3TeS2 crystal (PBE, the Alexandria database).

a b c (Å): 7.1521 7.1521 10.7031
angles (deg): 90.00 90.00 147.32
Closest atoms and distances in Å follow each position.
Fractional positions:
Er (0.0695, 0.9305, 0.7500)  4 S 2.60-2.84
Er (0.3549, 0.6451, 0.5411)  3 S 2.58-2.87
Er (0.3549, 0.6451, 0.9589)  3 S 2.58-2.87
Er (0.6451, 0.3549, 0.0411)  3 S 2.58-2.87
Er (0.6451, 0.3549, 0.4589)  3 S 2.58-2.87
Er (0.9305, 0.0695, 0.2500)  4 S 2.60-2.84
Te (0.2623, 0.7377, 0.2500)  8 Er 3.06-3.41
Te (0.7377, 0.2623, 0.7500)  8 Er 3.06-3.41
S (0.0000, 0.0000, 0.0000)  6 Er 2.84-2.87
S (0.0000, 0.0000, 0.5000)  6 Er 2.84-2.87
S (0.4490, 0.5510, 0.7500)  4 Er 2.58-2.60
S (0.5510, 0.4490, 0.2500)  4 Er 2.58-2.60

Energy relative to the elements, uncorrected, eV per atom: -1.4720
Final energy, eV per atom: -5.653
Symmetry: Cmcm (63)
V, Å³ per cell: 295.61
Magnetic moment, Bohr magnetons per cell: 0.0